Material: TlV2F
Method: DFT, PBE with a Hubbard U
State: relaxed

Cell: 5.4281 5.4281 7.4424 Å, 68.61 68.61 90.00°
Each line ends with the local moment (μB).
Fractional positions:
Tl1 0.0000 0.0000 0.0000  0.03
Tl2 0.7500 0.2500 0.5000  0.03
V1 0.4136 0.1250 0.2500  2.98
V2 0.3364 0.6250 0.2500  2.98
V3 0.3750 0.5864 0.7500  2.98
V4 0.8750 0.6636 0.7500  2.98
F1 0.5000 0.5000 0.0000  0.02
F2 0.2500 0.7500 0.5000  0.02

Calculated values
E (eV/atom): -4.673
Spin magnetization (μB/f.u.): 7.0